Entry 1:
First-principles (PBE-GGA) data for Pd3Pt3W2 after structural relaxation, as listed in the Alexandria database.

- theoretical density (g cm⁻³) = 16.755
- SG = R32
- total magnetic moment (Bohr magnetons per cell) = 0.0
- formation enthalpy at 0 K (eV/atom) = -0.08

```
8
Lattice="-4.301 2.181 1.381 -2.136 -4.538 0.021 1.080 -0.635 4.857" Properties=species:S:1:pos:R:3 pbc="T T T"
Pd -2.693 -2.812 0.371
Pd -0.272 -1.329 1.254
Pd -2.394 1.148 4.635
Pt -2.097 -3.304 2.764
Pt -2.395 -0.105 1.817
Pt -3.545 -1.081 4.808
W -0.892 -1.087 3.951
W -4.466 -1.906 2.309
```

---

Entry 2:
First-principles (PBE-GGA) data for Pd8Pt6W after structural relaxation, as listed in the Alexandria database.

- theoretical density (g cm⁻³) = 14.277
- SG = R-3
- total magnetic moment (Bohr magnetons per cell) = 0.0
- formation enthalpy at 0 K (eV/atom) = 0.13

```
15
Lattice="7.425 0.000 0.000 3.712 6.430 0.000 3.712 2.143 5.373" Properties=species:S:1:pos:R:3 pbc="T T T"
Pd 6.451 1.835 2.058
Pd 9.061 2.217 3.316
Pd 4.814 3.904 3.316
Pd 11.137 6.430 4.044
Pd 3.712 2.143 1.329
Pd 10.036 4.669 2.058
Pd 5.788 6.357 2.058
Pd 8.399 6.739 3.316
Pt 6.277 2.286 4.759
Pt 8.584 2.293 0.614
Pt 5.119 4.280 0.614
Pt 9.731 4.293 4.759
Pt 6.266 6.281 4.759
Pt 8.572 6.287 0.614
W 0.000 0.000 0.000
```

---

Entry 3:
First-principles (PBE-GGA) data for PdPtW2 after structural relaxation, as listed in the Alexandria database.

- theoretical density (g cm⁻³) = 16.838
- SG = R-3m
- total magnetic moment (Bohr magnetons per cell) = 0.0
- formation enthalpy at 0 K (eV/atom) = 0.43

```
4
Lattice="-0.532 0.808 2.582 -2.177 -1.027 1.345 4.787 -7.540 4.819" Properties=species:S:1:pos:R:3 pbc="T T T"
Pd 1.039 -3.879 4.373
W 3.256 -5.531 3.875
W -1.178 -2.227 4.872
Pt 0.000 0.000 0.000
```

---

Entry 4:
First-principles (PBE-GGA) data for PdPtW after structural relaxation, as listed in the Alexandria database.

- theoretical density (g cm⁻³) = 17.512
- SG = Imm2
- total magnetic moment (Bohr magnetons per cell) = 0.0
- formation enthalpy at 0 K (eV/atom) = -0.24

```
3
Lattice="-2.990 0.229 -2.591 -1.069 -2.369 1.025 -2.108 5.859 -0.084" Properties=species:S:1:pos:R:3 pbc="T T T"
Pd -3.367 1.043 -1.429
Pt -2.097 2.867 0.297
W -1.669 -0.984 -0.535
```